The following is a PBE-GGA calculation of a geometry-optimized SrCe2Ir9 structure, from Alexandria.

The final energy is -8.24 eV/atom. For the energy of formation from the pure elements, the calculation gives -0.461 eV/atom. The calculated density comes out at 15.822 Mg/m³. For the spin magnetization, the calculation gives 0.000 μB per atom. Its density of states at the Fermi level is 40.9 states/eV per cell.

It has space group R-3m (No. 166, hexagonal axes), with a = 5.3697 Å, b = 5.3697 Å, c = 26.4515 Å, α = 90.00°, β = 90.00° and γ = 120.00°. The inequivalent atoms are Sr at (0.0000, 0.0000, 0.0000), Ce at (0.0000, 0.0000, 0.1378), Ir at (0.0000, 0.0000, 0.3322), Ir at (0.0000, 0.0000, 0.5000) and Ir at (0.0001, 0.5001, 0.0824).